w | A plane-wave DFT calculation with PBE was carried out for a relaxed YHoHf crystal.

Unit cell a=3.7331 b=3.7331 c=12.5363 alpha=90.00 beta=90.00 gamma=90.00
Positions (direct):
Ho1 0.5000 0.0000 0.4091
Hf1 0.5000 0.0000 0.0514
Hf2 0.0000 0.5000 0.9486
Y1 0.5000 0.0000 0.7911
Ho2 0.0000 0.5000 0.5909
Y2 0.0000 0.5000 0.2089

As for the space group: No. 129.



x | A plane-wave DFT calculation with PBE was carried out for a relaxed YHoHf crystal.

Unit cell a=4.6948 b=3.3880 c=11.0458 alpha=107.83 beta=90.00 gamma=90.00
Positions (direct):
Hf1 0.3468 0.1768 0.8434
Y1 0.8469 0.1518 0.3186
Y2 0.3469 0.8379 0.5049
Ho1 0.8469 0.5176 0.6844
Ho2 0.3469 0.4722 0.1392
Hf2 0.8468 0.8132 0.9802

As for the space group: No. 59.



Decreasing stability: x, w



w | A plane-wave DFT calculation with PBE was carried out for a relaxed YHoHf crystal.

Unit cell a=3.3704 b=3.3704 c=7.7643 alpha=102.54 beta=102.54 gamma=90.00
Positions (direct):
Hf1 0.6654 0.6654 0.3308
Ho1 0.0127 0.0127 0.0254
Y1 0.3219 0.3219 0.6439

As for the space group: No. 107.



x | A plane-wave DFT calculation with PBE was carried out for a relaxed YHoHf crystal.

Unit cell a=3.3858 b=5.3288 c=5.3288 alpha=120.00 beta=90.00 gamma=90.00
Positions (direct):
Ho1 0.6665 0.6667 0.3333
Hf1 0.1667 0.3333 0.6667
Y1 0.1667 0.0000 0.0000

As for the space group: No. 187.



Decreasing stability: w, x



w | A plane-wave DFT calculation with PBE was carried out for a relaxed YHo2Hf crystal.

Unit cell a=3.4378 b=3.4378 c=11.3343 alpha=81.28 beta=81.28 gamma=60.00
Positions (direct):
Y1 0.5002 0.5002 0.4995
Hf1 0.6665 0.6665 0.0005
Ho1 0.2555 0.2555 0.2335
Ho2 0.0778 0.0778 0.7665

As for the space group: No. 160.



x | A plane-wave DFT calculation with PBE was carried out for a relaxed YHo2Hf crystal.

Unit cell a=3.4168 b=3.4168 c=11.4580 alpha=81.43 beta=81.43 gamma=60.00
Positions (direct):
Ho1 0.7441 0.7441 0.7678
Y1 0.5000 0.5000 0.5000
Hf1 0.0000 0.0000 0.0000
Ho2 0.2559 0.2559 0.2322

As for the space group: No. 166.



y | A plane-wave DFT calculation with PBE was carried out for a relaxed YHo2Hf crystal.

Unit cell a=4.8346 b=4.8389 c=4.8389 alpha=90.00 beta=90.00 gamma=90.00
Positions (direct):
Hf1 0.5000 0.5000 0.5000
Ho1 0.0000 0.0000 0.5000
Ho2 0.0000 0.5000 0.0000
Y1 0.5000 0.0000 0.0000

As for the space group: No. 123.



Decreasing stability: w, x, y



w | A plane-wave DFT calculation with PBE was carried out for a relaxed HoHfZn4 crystal.

Unit cell a=5.3199 b=5.3199 c=5.3199 alpha=60.00 beta=60.00 gamma=60.00
Positions (direct):
Zn1 0.6257 0.1228 0.6257
Zn2 0.6257 0.6257 0.1228
Zn3 0.6257 0.6257 0.6257
Zn4 0.1228 0.6257 0.6257
Hf1 0.0000 0.0000 0.0000
Ho1 0.2500 0.2500 0.2500

As for the space group: No. 216.



x | A plane-wave DFT calculation with PBE was carried out for a relaxed HoHfZn4 crystal.

Unit cell a=3.2427 b=4.4115 c=7.6450 alpha=90.00 beta=90.00 gamma=90.00
Positions (direct):
Zn1 0.4986 0.4973 0.6736
Zn2 0.4985 0.9973 0.8377
Zn3 0.4986 0.4973 0.3227
Zn4 0.4986 0.9973 0.1586
Hf1 0.9986 0.4973 0.9981
Ho1 0.9986 0.9973 0.4981

As for the space group: No. 47.



Decreasing stability: x, w



w | A plane-wave DFT calculation with PBE was carried out for a relaxed HoHfZn2 crystal.

Unit cell a=3.4209 b=3.4209 c=6.8478 alpha=90.00 beta=90.00 gamma=90.00
Positions (direct):
Zn1 0.0000 0.0000 0.2242
Hf1 0.5000 0.5000 0.0000
Zn2 0.0000 0.0000 0.7758
Ho1 0.5000 0.5000 0.5000

As for the space group: No. 123.



x | A plane-wave DFT calculation with PBE was carried out for a relaxed HoHfZn2 crystal.

Unit cell a=4.8411 b=4.8411 c=4.8411 alpha=60.00 beta=60.00 gamma=60.00
Positions (direct):
Zn1 0.7500 0.7500 0.7500
Hf1 0.5000 0.5000 0.5000
Zn2 0.2500 0.2500 0.2500
Ho1 0.0000 0.0000 0.0000

As for the space group: No. 225.



Decreasing stability: w, x



w | A plane-wave DFT calculation with PBE was carried out for a relaxed HoHfZr2 crystal.

Unit cell a=4.5861 b=4.6165 c=4.6165 alpha=90.00 beta=90.00 gamma=90.00
Positions (direct):
Ho1 0.5000 0.5000 0.5000
Zr1 0.0000 0.0000 0.5000
Hf1 0.5000 0.0000 0.0000
Zr2 0.0000 0.5000 0.0000

As for the space group: No. 123.



x | A plane-wave DFT calculation with PBE was carried out for a relaxed HoHfZr2 crystal.

Unit cell a=3.2128 b=3.2128 c=11.4094 alpha=81.91 beta=81.91 gamma=60.00
Positions (direct):
Ho1 0.0000 0.0000 0.0000
Hf1 0.5000 0.5000 0.5000
Zr1 0.0929 0.0929 0.7212
Zr2 0.9071 0.9071 0.2788

As for the space group: No. 166.



y | A plane-wave DFT calculation with PBE was carried out for a relaxed HoHfZr2 crystal.

Unit cell a=3.7780 b=3.7780 c=6.9231 alpha=90.00 beta=90.00 gamma=90.00
Positions (direct):
Zr1 0.0000 0.0000 0.2130
Zr2 0.0000 0.0000 0.7870
Ho1 0.5000 0.5000 0.5000
Hf1 0.5000 0.5000 0.0000

As for the space group: No. 123.



Decreasing stability: y, w, x